! La2Ga3Au | Alexandria via LeMat-Bulk | GGA-PBE | relaxed; values from VASP
&SYSTEM
  ibrav = 0, nat = 6, ntyp = 3
/
ATOMIC_SPECIES
La 138.91 La.upf
Ga 69.72 Ga.upf
Au 196.97 Au.upf
CELL_PARAMETERS angstrom
-0.476 2.965 2.556
0.426 -2.938 3.488
7.839 1.208 0.059
ATOMIC_POSITIONS angstrom
La 0.227 -1.467 1.744
La 3.903 0.601 0.029
Ga 6.302 2.490 1.327
Ga 1.042 1.680 1.288
Ga 5.221 0.821 3.061
Au 2.589 0.416 3.042
! DOS(E_F) = 4.1 states/eV/cell
! Magnetic moment = 0.000 μB/cell
! ΔE_f = -4.36 eV per formula unit
! SG = Pmm2